1.
Here is a geometry-optimized MnGaCo structure from the Alexandria database. Energies are from GGA-PBE.

Unit cell a=5.780 b=4.015 c=2.700 alpha=90.00 beta=90.00 gamma=46.38
Last column: magnetic moment on the atom in μB.
Positions (direct):
Mn 0.500 0.500 0.000  3.56
Ga 0.000 0.500 0.000  -0.04
Co 0.000 0.000 0.500  0.46

Results
symmetry: P2/m
spin magnetization: 4.156 μB per cell
DFT total energy: -6.359 eV per atom
formation energy: 0.075 eV/atom


2.
Here is a geometry-optimized Cs3NbRh structure from the Alexandria database. Energies are from GGA-PBE.

Unit cell a=6.129 b=6.129 c=6.129 alpha=90.00 beta=90.00 gamma=90.00
Last column: magnetic moment on the atom in μB.
Positions (direct):
Cs 0.000 0.500 0.000  0.03
Cs 0.000 0.000 0.500  0.03
Cs 0.500 0.000 0.000  0.03
Nb 0.500 0.500 0.500  3.17
Rh 0.000 0.000 0.000  0.05

Results
symmetry: Pm-3m
spin magnetization: 4.981 μB per cell
DFT total energy: -2.614 eV per atom
formation energy: 1.382 eV/atom


3.
Here is a geometry-optimized ScPtNO2 structure from the Alexandria database. Energies are from GGA-PBE.

Unit cell a=4.027 b=4.027 c=3.845 alpha=90.00 beta=90.00 gamma=90.00
Positions (direct):
Sc 0.500 0.500 0.500
O 0.000 0.500 0.000
O 0.500 0.000 0.000
Pt 0.000 0.000 0.000
N 0.000 0.000 0.500

Results
symmetry: P4/mmm
spin magnetization: 0.000 μB per cell
DFT total energy: -6.516 eV per atom
raw formation energy: -1.97 eV/f.u.


4.
Here is a geometry-optimized TcPb2Se structure from the Alexandria database. Energies are from GGA-PBE.

Unit cell a=3.614 b=3.614 c=6.905 alpha=90.00 beta=90.00 gamma=90.01
Last column: magnetic moment on the atom in μB.
Positions (direct):
Pb 0.000 0.000 0.979  0.01
Pb 0.000 0.000 0.521  0.01
Se 0.500 0.500 0.250  0.03
Tc 0.500 0.500 0.750  0.94

Results
symmetry: P4/mmm
spin magnetization: 1.102 μB per cell
DFT total energy: -4.826 eV per atom
energy above the most stable polymorph in this dataset: 1.92 eV/f.u.
raw formation energy: 1.96 eV/f.u.


5.
Here is a geometry-optimized Pa3SbO3 structure from the Alexandria database. Energies are from GGA-PBE.

Unit cell a=6.783 b=6.783 c=8.235 alpha=65.68 beta=65.68 gamma=60.00
Last column: magnetic moment on the atom in μB.
Positions (direct):
Pa 0.233 0.566 0.301  0.42
Pa 0.900 0.233 0.301  0.42
Pa 0.566 0.900 0.301  0.42
Pa 0.434 0.100 0.699  0.42
Pa 0.100 0.767 0.699  0.42
Pa 0.767 0.434 0.699  0.42
Sb 0.333 0.333 0.000  -0.01
Sb 0.667 0.667 0.000  -0.01
O 0.458 0.792 0.624  -0.01
O 0.792 0.126 0.624  -0.01
O 0.126 0.458 0.624  -0.01
O 0.874 0.542 0.376  -0.01
O 0.208 0.874 0.376  -0.01
O 0.542 0.208 0.376  -0.01

Results
symmetry: R-3
spin magnetization: 2.869 μB per cell
DFT total energy: -9.042 eV per atom
raw formation energy: -15.81 eV/f.u.


6.
Here is a geometry-optimized CoSbPb2 structure from the Alexandria database. Energies are from GGA-PBE.

Unit cell a=5.513 b=5.513 c=5.513 alpha=128.72 beta=128.72 gamma=75.47
Last column: magnetic moment on the atom in μB.
Positions (direct):
Co 0.750 0.250 0.500  1.50
Pb 0.000 0.000 0.000  -0.05
Pb 0.250 0.750 0.500  -0.01
Sb 0.500 0.500 0.000  -0.01

Results
symmetry: I-4m2
spin magnetization: 1.297 μB per cell
DFT total energy: -4.126 eV per atom
energy above the most stable polymorph in this dataset: 1.62 eV/f.u.
raw formation energy: 2.14 eV/f.u.